{"formula": "UTlAgSe4", "functional": "PBE", "state": "optimized geometry", "spacegroup": "P2_1/m", "raw_formation_energy_mev_per_atom": -613, "lattice_angstrom": [[7.382, 0.000, 0.000], [0.000, 5.663, 0.000], [-3.639, 0.000, 9.007]], "species": ["U", "U", "Tl", "Tl", "Ag", "Ag", "Se", "Se", "Se", "Se", "Se", "Se", "Se", "Se"], "frac_coords": [[0.228, 0.250, 0.445], [0.772, 0.750, 0.555], [0.233, 0.250, 0.947], [0.767, 0.750, 0.053], [0.258, 0.750, 0.712], [0.742, 0.250, 0.288], [0.025, 0.750, 0.849], [0.060, 0.750, 0.416], [0.455, 0.514, 0.305], [0.455, 0.986, 0.305], [0.545, 0.014, 0.695], [0.545, 0.486, 0.695], [0.940, 0.250, 0.584], [0.975, 0.250, 0.151]]}



{"formula": "U3Tl4AgSe8", "functional": "PBE", "state": "optimized geometry", "spacegroup": "R-3m", "raw_formation_energy_mev_per_atom": -789, "lattice_angstrom": [[4.147, 2.394, 7.833], [-4.147, 2.394, 7.833], [0.000, -4.788, 7.833]], "species": ["U", "U", "U", "Tl", "Tl", "Tl", "Tl", "Ag", "Se", "Se", "Se", "Se", "Se", "Se", "Se", "Se"], "frac_coords": [[0.000, 0.500, 0.500], [0.500, 0.000, 0.500], [0.500, 0.500, 0.000], [0.000, 0.000, 0.500], [0.000, 0.500, 0.000], [0.500, 0.000, 0.000], [0.500, 0.500, 0.500], [0.000, 0.000, 0.000], [0.239, 0.239, 0.726], [0.239, 0.726, 0.239], [0.264, 0.264, 0.264], [0.274, 0.761, 0.761], [0.726, 0.239, 0.239], [0.736, 0.736, 0.736], [0.761, 0.274, 0.761], [0.761, 0.761, 0.274]]}



{"formula": "U3TlAg4Se12", "functional": "PBE", "state": "optimized geometry", "spacegroup": "R32", "raw_formation_energy_mev_per_atom": -481, "lattice_angstrom": [[7.524, 4.344, 3.263], [-7.524, 4.344, 3.263], [0.000, -8.688, 3.263]], "species": ["U", "U", "U", "Tl", "Ag", "Ag", "Ag", "Ag", "Se", "Se", "Se", "Se", "Se", "Se", "Se", "Se", "Se", "Se", "Se", "Se"], "frac_coords": [[0.000, 0.563, 0.437], [0.437, 0.000, 0.563], [0.563, 0.437, 0.000], [0.000, 0.000, 0.000], [0.076, 0.500, 0.924], [0.500, 0.500, 0.500], [0.500, 0.924, 0.076], [0.924, 0.076, 0.500], [0.052, 0.671, 0.754], [0.101, 0.899, 0.500], [0.246, 0.329, 0.948], [0.329, 0.948, 0.246], [0.332, 0.668, 0.500], [0.500, 0.101, 0.899], [0.500, 0.332, 0.668], [0.668, 0.500, 0.332], [0.671, 0.754, 0.052], [0.754, 0.052, 0.671], [0.899, 0.500, 0.101], [0.948, 0.246, 0.329]]}



{"formula": "U3Tl3AgSe8", "functional": "PBE", "state": "optimized geometry", "spacegroup": "R-3m", "raw_formation_energy_mev_per_atom": -813, "lattice_angstrom": [[4.101, 2.368, 7.847], [-4.101, 2.368, 7.847], [0.000, -4.736, 7.847]], "species": ["U", "U", "U", "Tl", "Tl", "Tl", "Ag", "Se", "Se", "Se", "Se", "Se", "Se", "Se", "Se"], "frac_coords": [[0.000, 0.500, 0.500], [0.500, 0.000, 0.500], [0.500, 0.500, 0.000], [0.000, 0.000, 0.500], [0.000, 0.500, 0.000], [0.500, 0.000, 0.000], [0.000, 0.000, 0.000], [0.242, 0.242, 0.720], [0.242, 0.720, 0.242], [0.264, 0.264, 0.264], [0.280, 0.758, 0.758], [0.720, 0.242, 0.242], [0.736, 0.736, 0.736], [0.758, 0.280, 0.758], [0.758, 0.758, 0.280]]}